1.
The following is a PBE calculation of KMgFe2 after structural relaxation, from the Alexandria database.

```
KMgFe2
1.0
2.885 0.000 0.000
0.000 4.724 0.000
-1.056 0.000 6.982
K Mg Fe
1 1 2
direct
0.000 0.000 0.000
0.500 0.000 0.500
0.265 0.500 0.629
0.735 0.500 0.371
```

Output
formation energy from the elements	661	meV per atom
SG	No. 10

=====

2.
The following is a PBE calculation of NbBI3 after structural relaxation, from the Alexandria database.

```
NbBI3
1.0
5.089 0.000 0.000
0.000 5.089 0.000
0.000 0.000 5.089
Nb B I
1 1 3
direct
0.000 0.000 0.000
0.500 0.500 0.500
0.000 0.500 0.500
0.500 0.000 0.500
0.500 0.500 0.000
```

Output
uncorrected formation energy	5.9	eV per formula unit
SG	No. 221

=====

3.
The following is a PBE calculation of MgHg2Pb after structural relaxation, from the Alexandria database.

```
MgHg2Pb
1.0
4.716 0.000 0.000
0.000 4.716 0.000
0.000 0.000 9.074
Mg Hg Pb
2 4 2
direct
0.000 0.000 0.000
0.500 0.500 0.500
0.000 0.500 0.250
0.000 0.500 0.750
0.500 0.000 0.250
0.500 0.000 0.750
0.000 0.000 0.500
0.500 0.500 0.000
```

Output
formation energy from the elements	-24	meV per atom
SG	No. 139